# MgTl2Ru (SCAN, single point on PBEsol structure)
# - Fermi-level density of states (states/eV/f.u.) = 1.54
data_MgTl2Ru
_cell_length_a 3.440
_cell_length_b 3.659
_cell_length_c 6.142
_cell_angle_alpha 90.00
_cell_angle_beta 90.00
_cell_angle_gamma 90.00
_space_group_name_H-M_alt 'P m m m'
_space_group_IT_number 47
loop_
_space_group_symop_operation_xyz
'x,y,z'
'-x,-y,-z'
'-x,-y,z'
'x,y,-z'
'x,-y,-z'
'-x,y,z'
'-x,y,-z'
'x,-y,z'
loop_
_atom_site_label
_atom_site_type_symbol
_atom_site_fract_x
_atom_site_fract_y
_atom_site_fract_z
_atom_site_occupancy
Mg1 Mg 0.000 0.000 0.000 1
Tl1 Tl 0.500 0.500 0.263 1
Ru1 Ru 0.000 0.000 0.500 1

***

# MnPPbCl2 (SCAN, single point on PBEsol structure)
# - ΔE_f (raw) (eV per atom) = -0.52
# - Fermi-level density of states (states/eV/f.u.) = 1.44
data_MnPPbCl2
_cell_length_a 4.653
_cell_length_b 4.653
_cell_length_c 4.906
_cell_angle_alpha 90.00
_cell_angle_beta 90.00
_cell_angle_gamma 90.00
_space_group_name_H-M_alt 'P 4/m m m'
_space_group_IT_number 123
_space_group_name_Hall '-P 4 2'
loop_
_atom_site_label
_atom_site_type_symbol
_atom_site_fract_x
_atom_site_fract_y
_atom_site_fract_z
_atom_site_occupancy
Mn1 Mn 0.000 0.000 0.000 1
P1 P 0.000 0.000 0.500 1
Pb1 Pb 0.500 0.500 0.500 1
Cl1 Cl 0.000 0.500 0.000 1

***

# AgMoIr2 (SCAN, single point on PBEsol structure)
# - Fermi-level density of states (states/eV/f.u.) = 4.47
data_AgMoIr2
_cell_length_a 5.578
_cell_length_b 7.685
_cell_length_c 2.759
_cell_angle_alpha 90.00
_cell_angle_beta 90.00
_cell_angle_gamma 90.00
_space_group_name_H-M_alt 'C m m m'
_space_group_IT_number 65
_space_group_name_Hall '-C 2 2'
loop_
_atom_site_label
_atom_site_type_symbol
_atom_site_fract_x
_atom_site_fract_y
_atom_site_fract_z
_atom_site_occupancy
Ag1 Ag 0.000 0.000 0.000 1
Mo1 Mo 0.000 0.500 0.000 1
Ir1 Ir 0.250 0.250 0.500 1

***

Q: Which V values were calculated for the entries above? A: 77.3, 106.2, 59.1, in Å³/f.u..
Q: Which final energy values were calculated for the entries above? A: -45.827, -24.596, -51.861, in eV/atom.